[1]
DFT (PBE) results for a geometry-optimized SrCa2Sm structure.

## Properties
Energy relative to the lowest polymorph listed for this composition (meV/atom): 11
Formation energy (eV/atom): 0.09
Magnetization (μB per cell): 0.0

Unit cell a=3.8751 b=3.8751 c=38.5076 alpha=90.00 beta=90.00 gamma=120.00
Closest atoms and distances in Å follow each position.
Space group R-3m (No. 166, hexagonal axes)
Asymmetric unit:
Sr: 0.0000 0.0000 0.0000  6 Sr 3.88, 6 Ca 4.06
Ca: 0.0000 0.0000 0.2455  3 Sm 3.77, 6 Ca 3.88, 3 Sr 4.06
Sm: 0.0000 0.0000 0.5000  6 Ca 3.77, 6 Sm 3.88


[2]
DFT (PBE) results for a geometry-optimized SrCa2Sm structure.

## Properties
Energy relative to the lowest polymorph listed for this composition (meV/atom): 39
Formation energy (eV/atom): 0.12
Magnetization (μB per cell): 0.0

Unit cell a=6.1967 b=6.1967 c=4.2795 alpha=90.00 beta=90.00 gamma=90.00
Closest atoms and distances in Å follow each position.
Space group P4/mmm (No. 123)
Asymmetric unit:
Sr: 0.0000 0.0000 0.0000  8 Ca 3.77
Ca: 0.0000 0.5000 0.5000  4 Sr 3.77, 4 Sm 3.77
Sm: 0.5000 0.5000 0.0000  8 Ca 3.77


[3]
DFT (PBE) results for a geometry-optimized SrCa2Sm structure.

## Properties
Energy relative to the lowest polymorph listed for this composition (meV/atom): 87
Formation energy (eV/atom): 0.17
Magnetization (μB per cell): 0.5

Unit cell a=3.8139 b=3.8139 c=13.4135 alpha=90.00 beta=90.00 gamma=120.00
Closest atoms and distances in Å follow each position.
Space group P3m1 (No. 156)
Asymmetric unit:
Sr: 0.0000 0.0000 0.0000  6 Sr 3.81, 6 Ca 4.04-4.08
Ca: 0.3333 0.6667 0.7439  3 Sm 3.74, 6 Ca 3.81, 3 Sr 4.08
Ca: 0.6667 0.3333 0.2526  1 Sm 3.56, 6 Ca 3.81
Sm: 0.6667 0.3333 0.5181  4 Ca 3.56-3.74, 6 Sm 3.81


[4]
DFT (PBE) results for a geometry-optimized Sr2CaSm structure.

## Properties
Energy relative to the lowest polymorph listed for this composition (meV/atom): 144
Formation energy (eV/atom): 0.27
Magnetization (μB per cell): 1.9

Unit cell a=3.8582 b=3.8582 c=41.8953 alpha=90.00 beta=90.00 gamma=120.00
Closest atoms and distances in Å follow each position.
Space group R-3m (No. 166, hexagonal axes)
Asymmetric unit:
Sr: 0.0000 0.0000 0.0866  1 Sm 3.63, 6 Sr 3.86, 3 Ca 4.03
Ca: 0.0000 0.0000 0.5000  6 Ca 3.86, 6 Sr 4.03
Sm: 0.0000 0.0000 0.0000  2 Sr 3.63, 6 Sm 3.86